# 1
VASP calculation (GGA-PBE) on a geometry-optimized MgTcSeN2 structure.

spin magnetization	0.0	Bohr magnetons per cell
volume	16.15	A^3/atom
DOS(E_F)	4.02	states/eV/f.u.
formation energy without anion corrections	0.649	eV/f.u.
density	4.714	g/cm3

Cell and atoms, written as extended XYZ:
```
5
Lattice="3.835 0.000 0.000 0.000 3.835 0.000 0.000 0.000 5.492" Properties=species:S:1:pos:R:3 pbc="T T T"
Mg 0.000 0.000 0.000
Tc 1.917 1.917 2.746
Se 1.917 1.917 0.000
N 0.000 1.917 2.746
N 1.917 0.000 2.746
```

=====

# 2
VASP calculation (GGA-PBE) on a geometry-optimized MgTcSe2N structure.

spin magnetization	5.7	Bohr magnetons per cell
volume	20.23	A^3/atom
DOS(E_F)	3.27	states/eV/f.u.
formation energy without anion corrections	5.278	eV/f.u.
density	4.830	g/cm3

Cell and atoms, written as extended XYZ:
```
5
Lattice="5.112 0.000 0.000 0.000 5.112 0.000 0.000 0.000 3.871" Properties=species:S:1:pos:R:3 pbc="T T T"
Mg 0.000 0.000 0.000
Tc 2.556 2.556 1.935
Se 0.000 2.556 0.000
Se 2.556 0.000 0.000
N 0.000 0.000 1.935
```

=====

# 3
VASP calculation (GGA-PBE) on a geometry-optimized MgTcSeN2 structure.

spin magnetization	1.5	Bohr magnetons per cell
volume	15.00	A^3/atom
DOS(E_F)	5.28	states/eV/f.u.
formation energy without anion corrections	8.389	eV/f.u.
density	5.076	g/cm3

Cell and atoms, written as extended XYZ:
```
5
Lattice="3.847 0.000 0.000 0.000 3.847 0.000 0.000 0.000 5.069" Properties=species:S:1:pos:R:3 pbc="T T T"
Mg 0.000 0.000 0.000
Tc 1.923 1.923 2.535
Se 0.000 0.000 2.535
N 0.000 1.923 0.000
N 1.923 0.000 0.000
```

=====

# 4
VASP calculation (GGA-PBE) on a geometry-optimized MgTcSe2N structure.

spin magnetization	0.0	Bohr magnetons per cell
volume	19.37	A^3/atom
DOS(E_F)	2.66	states/eV/f.u.
formation energy without anion corrections	-0.168	eV/f.u.
density	5.045	g/cm3

Cell and atoms, written as extended XYZ:
```
5
Lattice="5.112 0.000 0.000 0.000 5.112 0.000 0.000 0.000 3.706" Properties=species:S:1:pos:R:3 pbc="T T T"
Mg 0.000 0.000 0.000
Tc 2.556 2.556 1.853
Se 0.000 2.556 1.853
Se 2.556 0.000 1.853
N 2.556 2.556 0.000
```

=====

# 5
VASP calculation (GGA-PBE) on a geometry-optimized MgTe2SeN structure.

spin magnetization	1.6	Bohr magnetons per cell
volume	24.51	A^3/atom
DOS(E_F)	3.25	states/eV/f.u.
formation energy without anion corrections	3.684	eV/f.u.
density	5.047	g/cm3

Cell and atoms, written as extended XYZ:
```
5
Lattice="5.592 0.000 0.000 0.000 5.592 0.000 0.000 0.000 3.918" Properties=species:S:1:pos:R:3 pbc="T T T"
Mg 0.000 0.000 0.000
Te 0.000 2.796 0.000
Te 2.796 0.000 0.000
Se 2.796 2.796 1.959
N 0.000 0.000 1.959
```

=====

# 6
VASP calculation (GGA-PBE) on a geometry-optimized MgTeSe2N structure.

spin magnetization	2.1	Bohr magnetons per cell
volume	21.84	A^3/atom
DOS(E_F)	3.31	states/eV/f.u.
formation energy without anion corrections	2.836	eV/f.u.
density	4.925	g/cm3

Cell and atoms, written as extended XYZ:
```
5
Lattice="5.224 0.000 0.000 0.000 5.224 0.000 0.000 0.000 4.000" Properties=species:S:1:pos:R:3 pbc="T T T"
Mg 0.000 0.000 0.000
Te 2.612 2.612 2.000
Se 0.000 2.612 0.000
Se 2.612 0.000 0.000
N 0.000 0.000 2.000
```

=====

Q: Number 5 is which compound?
A: MgTe2SeN